[1]
# Pb2W3 | Alexandria via LeMat-Bulk | PBE | optimized geometry
# * size of the total moment: 0.00 μB per atom
# * V: 103 Å³/f.u.
# * Fermi-level density of states: 0.926 states/eV/atom
# * DFT formation energy: 0.969 eV per atom
data_Pb2W3
_cell_length_a 3.1654
_cell_length_b 3.1654
_cell_length_c 35.7350
_cell_angle_alpha 90.00
_cell_angle_beta 90.00
_cell_angle_gamma 120.00
_symmetry_space_group_name_H-M 'R -3 m'
_symmetry_Int_Tables_number 166
_symmetry_space_group_name_Hall '-R 3 2"'
loop_
_atom_site_label
_atom_site_type_symbol
_atom_site_fract_x
_atom_site_fract_y
_atom_site_fract_z
_atom_site_occupancy
Pb1 Pb 0.0000 0.0000 0.0985 1
W1 W 0.0000 0.0000 0.3090 1
W2 W 0.0000 0.0000 0.5000 1

=====

[2]
# TeS2Cl | Alexandria via LeMat-Bulk | PBE | optimized geometry
# * size of the total moment: 0.00 μB per atom
# * V: 156 Å³/f.u.
# * Fermi-level density of states: 0.207 states/eV/atom
# * relative energy among the computed polymorphs: 0.022 eV/atom
data_TeS2Cl
_cell_length_a 5.237
_cell_length_b 5.712
_cell_length_c 11.565
_cell_angle_alpha 85.58
_cell_angle_beta 77.48
_cell_angle_gamma 67.63
_symmetry_space_group_name_H-M 'P -1'
_symmetry_Int_Tables_number 2
_symmetry_space_group_name_Hall '-P 1'
loop_
_atom_site_label
_atom_site_type_symbol
_atom_site_fract_x
_atom_site_fract_y
_atom_site_fract_z
_atom_site_occupancy
Te1 Te 0.000 0.000 0.000 1
Te2 Te 0.500 0.500 0.000 1
S1 S 0.066 0.365 0.571 1
S2 S 0.138 0.862 0.430 1
Cl1 Cl 0.345 0.750 0.810 1